[1]
BaInGa2Pd PBE relaxed; ΔE_f = -1.71 eV per formula unit; space group = P4/mmm, No. 123
1.0
5.015 0.000 0.000
0.000 5.015 0.000
0.000 0.000 5.254
Ba In Ga Pd
1 1 2 1
Direct
0.000 0.000 0.000
0.500 0.500 0.000
0.000 0.500 0.500
0.500 0.000 0.500
0.500 0.500 0.500



[2]
Ba3In2Ga2Pd4 PBE relaxed; ΔE_f = -5.74 eV per formula unit; space group = P-3m1, No. 164
1.0
4.563 0.000 0.000
-2.282 3.952 0.000
0.000 0.000 16.890
Ba In Ga Pd
3 2 2 4
Direct
0.000 0.000 0.000
0.000 0.000 0.276
0.000 0.000 0.724
0.333 0.667 0.561
0.667 0.333 0.439
0.333 0.667 0.139
0.667 0.333 0.861
0.333 0.667 0.397
0.333 0.667 0.862
0.667 0.333 0.138
0.667 0.333 0.603